A relaxed Mn3TcAs crystal. Source: Alexandria via LeMat-Bulk, functional GGA-PBE.

Computed properties:
Density   5.76 g/cm3
Fermi-level density of states   5.75 states/eV per cell
Relative energy among the computed polymorphs   0.00 kcal/mol of atoms
Symmetry   No. 221
Electronic total energy   -7.3173 eV/atom

Lattice parameters (Å, degrees): 4.5997 4.5997 4.5997 90.00 90.00 90.00
Sites, in units of the cell vectors:
As  0.5000  0.5000  0.5000
Mn  0.5000  0.0000  0.0000
Mn  0.0000  0.0000  0.5000
Mn  0.0000  0.5000  0.0000
Tc  0.0000  0.0000  0.0000

***

A relaxed NaBOF2 crystal. Source: Alexandria via LeMat-Bulk, functional GGA-PBE.

Computed properties:
Density   3.20 g/cm3
Fermi-level density of states   0.00 states/eV per cell
Relative energy among the computed polymorphs   15.82 kcal/mol of atoms
Symmetry   No. 123
Formation energy without anion corrections   -2.055 eV per atom
Electronic total energy   -5.3945 eV/atom

Lattice parameters (Å, degrees): 4.1012 4.1012 2.7094 90.00 90.00 90.00
Sites, in units of the cell vectors:
F  0.5000  0.0000  0.0000
F  0.0000  0.5000  0.0000
B  0.0000  0.0000  0.0000
Na  0.5000  0.5000  0.5000
O  0.0000  0.0000  0.5000

***

A relaxed LaGa2F crystal. Source: Alexandria via LeMat-Bulk, functional GGA-PBE.

Computed properties:
Density   4.65 g/cm3
Fermi-level density of states   2.53 states/eV per cell
Symmetry   No. 225
Formation energy without anion corrections   -0.523 eV per atom
Electronic total energy   -3.7366 eV/atom

Lattice parameters (Å, degrees): 5.3134 5.3134 5.3134 60.00 60.00 60.00
Sites, in units of the cell vectors:
La  0.5000  0.5000  0.5000
Ga  0.2500  0.2500  0.2500
Ga  0.7500  0.7500  0.7500
F  0.0000  0.0000  0.0000

***

A relaxed Tb8Tc2Pd crystal. Source: Alexandria via LeMat-Bulk, functional GGA-PBE.

Computed properties:
Density   8.71 g/cm3
Fermi-level density of states   9.48 states/eV per cell
Symmetry   No. 8
Electronic total energy   -5.8635 eV/atom

Lattice parameters (Å, degrees): 5.8682 7.6739 7.6739 112.90 100.63 100.63
Sites, in units of the cell vectors:
Tb  0.1885  0.3725  0.3725
Tb  0.3888  0.6638  0.9267
Tb  0.9882  0.2186  0.7845
Tb  0.9882  0.7845  0.2186
Tb  0.5859  0.3422  0.0793
Tb  0.7932  0.6328  0.6328
Tb  0.5859  0.0793  0.3422
Tb  0.3888  0.9267  0.6638
Tc  0.4929  0.6963  0.3152
Tc  0.4929  0.3152  0.6963
Pd  0.1063  0.0020  0.0020

***

A relaxed Rb2ScBe2S4 crystal. Source: Alexandria via LeMat-Bulk, functional GGA-PBE.

Computed properties:
Density   3.12 g/cm3
Fermi-level density of states   3.41 states/eV per cell
Symmetry   No. 12
Formation energy without anion corrections   -1.187 eV per atom
Electronic total energy   -4.7682 eV/atom

Lattice parameters (Å, degrees): 3.6814 7.7647 7.3484 107.87 104.51 90.00
Sites, in units of the cell vectors:
Be  0.3273  0.0243  0.6546
Be  0.6727  0.9757  0.3454
S  0.5333  0.7846  0.0667
S  0.7973  0.8598  0.5947
S  0.4667  0.2154  0.9333
S  0.2027  0.1402  0.4053
Sc  0.0000  0.0000  0.0000
Rb  0.8695  0.4632  0.7391
Rb  0.1305  0.5368  0.2609

***

A relaxed Ta2AgP2 crystal. Source: Alexandria via LeMat-Bulk, functional GGA-PBE.

Computed properties:
Density   11.12 g/cm3
Fermi-level density of states   5.18 states/eV per cell
Relative energy among the computed polymorphs   0.00 kcal/mol of atoms
Symmetry   No. 127
Electronic total energy   -7.8120 eV/atom

Lattice parameters (Å, degrees): 7.0685 7.0685 3.1785 90.00 90.00 90.00
Sites, in units of the cell vectors:
Ta  0.6449  0.8551  0.5000
Ta  0.8551  0.3551  0.5000
Ta  0.1449  0.6449  0.5000
Ta  0.3551  0.1449  0.5000
Ag  0.5000  0.5000  0.0000
Ag  0.0000  0.0000  0.0000
P  0.1440  0.3560  0.0000
P  0.6440  0.1440  0.0000
P  0.3560  0.8560  0.0000
P  0.8560  0.6440  0.0000

***

A relaxed TaV2InH crystal. Source: Alexandria via LeMat-Bulk, functional GGA-PBE.

Computed properties:
Density   9.78 g/cm3
Fermi-level density of states   5.10 states/eV per cell
Symmetry   No. 123
Electronic total energy   -7.1906 eV/atom

Lattice parameters (Å, degrees): 4.1672 4.1672 3.8970 90.00 90.00 90.00
Sites, in units of the cell vectors:
In  0.5000  0.5000  0.5000
V  0.0000  0.5000  0.0000
V  0.5000  0.0000  0.0000
H  0.0000  0.0000  0.0000
Ta  0.0000  0.0000  0.5000

***

A relaxed Ti4Al3Mo crystal. Source: Alexandria via LeMat-Bulk, functional GGA-PBE.

Computed properties:
Density   4.75 g/cm3
Fermi-level density of states   10.38 states/eV per cell
Relative energy among the computed polymorphs   0.00 kcal/mol of atoms
Symmetry   No. 123
Electronic total energy   -7.0481 eV/atom

Lattice parameters (Å, degrees): 4.2797 7.0272 8.5584 90.00 90.00 90.00
Sites, in units of the cell vectors:
Al  0.5000  0.0000  0.2500
Al  0.5000  0.0000  0.7500
Al  0.0000  0.0000  0.0000
Al  0.5000  0.5000  0.7500
Al  0.0000  0.0000  0.5000
Al  0.5000  0.5000  0.2500
Mo  0.0000  0.5000  0.0000
Mo  0.0000  0.5000  0.5000
Ti  0.5000  0.7417  0.0000
Ti  0.0000  0.2583  0.7500
Ti  0.5000  0.7417  0.5000
Ti  0.5000  0.2583  0.5000
Ti  0.0000  0.7417  0.7500
Ti  0.5000  0.2583  0.0000
Ti  0.0000  0.2583  0.2500
Ti  0.0000  0.7417  0.2500

***

A relaxed Nd4Dy5Ho2 crystal. Source: Alexandria via LeMat-Bulk, functional GGA-PBE.

Computed properties:
Density   7.89 g/cm3
Fermi-level density of states   15.80 states/eV per cell
Relative energy among the computed polymorphs   0.00 kcal/mol of atoms
Symmetry   No. 12
Electronic total energy   -4.5508 eV/atom

Lattice parameters (Å, degrees): 5.6671 6.6534 10.0043 90.85 106.45 90.00
Sites, in units of the cell vectors:
Nd  0.6942  0.0720  0.3884
Nd  0.9804  0.7119  0.9609
Nd  0.3058  0.9280  0.6116
Nd  0.0196  0.2881  0.0391
Dy  0.5000  0.0000  0.0000
Dy  0.8699  0.1083  0.7398
Dy  0.2085  0.4021  0.4171
Dy  0.7915  0.5979  0.5829
Dy  0.1301  0.8917  0.2602
Ho  0.5975  0.5538  0.1951
Ho  0.4025  0.4462  0.8049

***

A relaxed KPrAg2I6 crystal. Source: Alexandria via LeMat-Bulk, functional GGA-PBE.

Computed properties:
Density   4.14 g/cm3
Fermi-level density of states   0.00 states/eV per cell
Symmetry   No. 146
Formation energy without anion corrections   -0.932 eV per atom
Electronic total energy   -3.0197 eV/atom

Lattice parameters (Å, degrees): 8.1341 8.1361 9.3606 90.02 115.78 119.98
Sites, in units of the cell vectors:
Pr  0.9967  0.9979  0.9805
Ag  0.4663  0.7325  0.1851
Ag  0.5269  0.2632  0.7758
K  0.9968  0.4979  0.4806
I  0.1587  0.2328  0.7501
I  0.8387  0.6052  0.7498
I  0.5313  0.9254  0.7502
I  0.1540  0.3904  0.2107
I  0.4623  0.0707  0.2100
I  0.8338  0.7616  0.2099

***

A relaxed NaCeBi crystal. Source: Alexandria via LeMat-Bulk, functional GGA-PBE.

Computed properties:
Density   5.94 g/cm3
Fermi-level density of states   15.16 states/eV per cell
Symmetry   No. 166
Electronic total energy   -3.9942 eV/atom

Lattice parameters (Å, degrees): 5.0998 5.0998 9.7001 74.76 74.76 60.00
Sites, in units of the cell vectors:
Bi  0.4210  0.4210  0.7370
Bi  0.5790  0.5790  0.2630
Ce  0.7053  0.7053  0.8842
Ce  0.2947  0.2947  0.1158
Na  0.1358  0.1358  0.5927
Na  0.8642  0.8642  0.4073

***

A relaxed Cd4NiHg crystal. Source: Alexandria via LeMat-Bulk, functional GGA-PBE.

Computed properties:
Density   9.27 g/cm3
Fermi-level density of states   3.98 states/eV per cell
Relative energy among the computed polymorphs   0.00 kcal/mol of atoms
Symmetry   No. 12
Electronic total energy   -1.6098 eV/atom

Lattice parameters (Å, degrees): 5.5361 7.1731 8.0413 116.49 114.25 90.00
Sites, in units of the cell vectors:
Cd  0.1931  0.6791  0.3582
Cd  0.0000  0.7983  0.0000
Cd  0.3585  0.1087  0.7581
Cd  0.0000  0.2017  0.0000
Cd  0.6415  0.3506  0.2419
Cd  0.8069  0.3209  0.6418
Cd  0.6415  0.8913  0.2419
Cd  0.3585  0.6494  0.7581
Hg  0.1937  0.2029  0.4059
Hg  0.8063  0.7971  0.5941
Ni  0.2842  0.5036  0.0072
Ni  0.7158  0.4964  0.9928